First-principles (PBE) data for crystalline Li2PtBr at its relaxed geometry, as listed in Alexandria. Values from VASP.

Geometry as Quantum ESPRESSO input:
```
&SYSTEM
  ibrav = 0, nat = 4, ntyp = 3
/
ATOMIC_SPECIES
Li 6.94 Li.upf
Pt 195.08 Pt.upf
Br 79.90 Br.upf
ATOMIC_POSITIONS crystal
Li 0.0000 0.5000 0.0000
Li 0.5000 0.0000 0.0000
Pt 0.0000 0.0000 0.5000
Br 0.5000 0.5000 0.5000
CELL_PARAMETERS angstrom
2.8671 -3.5483 0.0000
2.8671 3.5483 0.0000
0.0000 0.0000 3.2044
```

## Properties
SG	Cmmm
volume	16.30	Å³/atom
energy relative to the lowest polymorph listed for this composition	81	meV per atom
uncorrected formation energy	-0.5499	eV per atom

=====

First-principles (PBE) data for crystalline CuSi2 at its relaxed geometry, as listed in Alexandria. Values from VASP.

Geometry as Quantum ESPRESSO input:
```
&SYSTEM
  ibrav = 0, nat = 3, ntyp = 2
/
ATOMIC_SPECIES
Cu 63.55 Cu.upf
Si 28.09 Si.upf
ATOMIC_POSITIONS crystal
Cu 0.0000 0.0000 0.0000
Si 0.3333 0.6667 0.0000
Si 0.6667 0.3333 0.0000
CELL_PARAMETERS angstrom
4.4084 0.0000 0.0000
-2.2042 3.8178 0.0000
0.0000 0.0000 2.5557
```

## Properties
SG	P6/mmm
volume	14.34	Å³/atom
uncorrected formation energy	0.2103	eV per atom

=====

First-principles (PBE) data for crystalline Dy6Er3Tl at its relaxed geometry, as listed in Alexandria. Values from VASP.

Geometry as Quantum ESPRESSO input:
```
&SYSTEM
  ibrav = 0, nat = 20, ntyp = 3
/
ATOMIC_SPECIES
Dy 162.50 Dy.upf
Er 167.26 Er.upf
Tl 204.38 Tl.upf
ATOMIC_POSITIONS crystal
Dy 0.0165 0.9835 0.5000
Dy 0.1023 0.5367 0.9740
Dy 0.2615 0.3730 0.7584
Dy 0.2865 0.7135 0.5268
Dy 0.3730 0.2615 0.2584
Dy 0.4633 0.8977 0.9740
Dy 0.5367 0.1023 0.4740
Dy 0.6270 0.7385 0.7584
Dy 0.7135 0.2865 0.0268
Dy 0.7385 0.6270 0.2584
Dy 0.8977 0.4633 0.4740
Dy 0.9835 0.0165 0.0000
Er 0.0438 0.2960 0.3258
Er 0.2960 0.0438 0.8258
Er 0.4134 0.5866 0.2313
Er 0.5866 0.4134 0.7313
Er 0.7040 0.9562 0.3258
Er 0.9562 0.7040 0.8258
Tl 0.1524 0.8476 0.2645
Tl 0.8476 0.1524 0.7645
CELL_PARAMETERS angstrom
4.8236 -10.0976 0.0000
4.8236 10.0976 0.0000
0.0000 0.0000 6.2650
```

## Properties
SG	Cmc2_1
volume	30.52	Å³/atom
energy relative to the lowest polymorph listed for this composition	17	meV per atom
formation enthalpy at 0 K	0.03	eV/atom

=====

First-principles (PBE) data for crystalline RbHf3Cd at its relaxed geometry, as listed in Alexandria. Values from VASP.

Geometry as Quantum ESPRESSO input:
```
&SYSTEM
  ibrav = 0, nat = 5, ntyp = 3
/
ATOMIC_SPECIES
Rb 85.47 Rb.upf
Hf 178.49 Hf.upf
Cd 112.41 Cd.upf
ATOMIC_POSITIONS crystal
Rb 0.0000 0.0000 0.0000
Hf 0.0000 0.0000 0.5000
Hf 0.0000 0.5000 0.0000
Hf 0.5000 0.0000 0.0000
Cd 0.5000 0.5000 0.5000
CELL_PARAMETERS angstrom
5.0614 0.0000 0.0000
0.0000 5.0614 0.0000
0.0000 0.0000 5.0614
```

## Properties
SG	Pm-3m
volume	25.93	Å³/atom
energy relative to the lowest polymorph listed for this composition	748	meV per atom
formation enthalpy at 0 K	2.24	eV/atom

=====

First-principles (PBE) data for crystalline Cu3AgSe3 at its relaxed geometry, as listed in Alexandria. Values from VASP.

Geometry as Quantum ESPRESSO input:
```
&SYSTEM
  ibrav = 0, nat = 14, ntyp = 3
/
ATOMIC_SPECIES
Cu 63.55 Cu.upf
Ag 107.87 Ag.upf
Se 78.96 Se.upf
ATOMIC_POSITIONS crystal
Cu 0.1325 0.4700 0.7939
Cu 0.2061 0.8675 0.5300
Cu 0.4700 0.7939 0.1325
Cu 0.5300 0.2061 0.8675
Cu 0.7939 0.1325 0.4700
Cu 0.8675 0.5300 0.2061
Ag 0.3335 0.3335 0.3335
Ag 0.6665 0.6665 0.6665
Se 0.0818 0.7526 0.4157
Se 0.2474 0.5843 0.9182
Se 0.4157 0.0818 0.7526
Se 0.5843 0.9182 0.2474
Se 0.7526 0.4157 0.0818
Se 0.9182 0.2474 0.5843
CELL_PARAMETERS angstrom
3.3735 1.9477 6.9728
-3.3735 1.9477 6.9728
0.0000 -3.8954 6.9728
```

## Properties
SG	R-3
volume	19.64	Å³/atom
uncorrected formation energy	-0.0926	eV per atom

=====

First-principles (PBE) data for crystalline CeLuFeRu at its relaxed geometry, as listed in Alexandria. Values from VASP.

Geometry as Quantum ESPRESSO input:
```
&SYSTEM
  ibrav = 0, nat = 4, ntyp = 4
/
ATOMIC_SPECIES
Ce 140.12 Ce.upf
Lu 174.97 Lu.upf
Fe 55.84 Fe.upf
Ru 101.07 Ru.upf
ATOMIC_POSITIONS crystal
Ce 0.0000 0.0000 0.0000
Lu 0.5000 0.5000 0.5000
Fe 0.7500 0.7500 0.7500
Ru 0.2500 0.2500 0.2500
CELL_PARAMETERS angstrom
0.0000 3.3586 3.3586
3.3586 0.0000 3.3586
3.3586 3.3586 0.0000
```

## Properties
SG	F-43m
volume	18.94	Å³/atom
formation enthalpy at 0 K	-0.17	eV/atom

=====

First-principles (PBE) data for crystalline Pr4Nd5 at its relaxed geometry, as listed in Alexandria. Values from VASP.

Geometry as Quantum ESPRESSO input:
```
&SYSTEM
  ibrav = 0, nat = 9, ntyp = 2
/
ATOMIC_SPECIES
Pr 140.91 Pr.upf
Nd 144.24 Nd.upf
ATOMIC_POSITIONS crystal
Pr 0.1667 0.1667 0.3334
Pr 0.1667 0.8333 0.0000
Pr 0.8333 0.1667 0.0000
Pr 0.8333 0.8333 0.6666
Nd 0.1662 0.5000 0.6662
Nd 0.5000 0.1662 0.6662
Nd 0.5000 0.5000 0.0000
Nd 0.5000 0.8338 0.3338
Nd 0.8338 0.5000 0.3338
CELL_PARAMETERS angstrom
-5.5475 5.5475 2.6156
5.5475 -5.5475 2.6156
5.5475 5.5475 -2.6156
```

## Properties
SG	I4/mmm
volume	35.78	Å³/atom
formation enthalpy at 0 K	0.01	eV/atom

=====

First-principles (PBE) data for crystalline As2RuO8 at its relaxed geometry, as listed in Alexandria. Values from VASP.

Geometry as Quantum ESPRESSO input:
```
&SYSTEM
  ibrav = 0, nat = 11, ntyp = 3
/
ATOMIC_SPECIES
As 74.92 As.upf
Ru 101.07 Ru.upf
O 16.00 O.upf
ATOMIC_POSITIONS crystal
As 0.1099 0.1099 0.2012
As 0.8901 0.8901 0.7988
Ru 0.5000 0.5000 0.5000
O 0.1135 0.1135 0.9008
O 0.1509 0.6175 0.6502
O 0.3326 0.3326 0.2492
O 0.3825 0.8491 0.3498
O 0.6175 0.1509 0.6502
O 0.6674 0.6674 0.7508
O 0.8491 0.3825 0.3498
O 0.8865 0.8865 0.0992
CELL_PARAMETERS angstrom
4.2726 -2.8332 0.0000
4.2726 2.8332 0.0000
-1.0189 0.0000 5.8222
```

## Properties
SG	C2/m
volume	12.81	Å³/atom
uncorrected formation energy	-0.8005	eV per atom

=====

First-principles (PBE) data for crystalline WI3N at its relaxed geometry, as listed in Alexandria. Values from VASP.

Geometry as Quantum ESPRESSO input:
```
&SYSTEM
  ibrav = 0, nat = 5, ntyp = 3
/
ATOMIC_SPECIES
W 183.84 W.upf
I 126.90 I.upf
N 14.01 N.upf
ATOMIC_POSITIONS crystal
W 0.0000 0.0000 0.0000
I 0.0000 0.5000 0.5000
I 0.5000 0.0000 0.5000
I 0.5000 0.5000 0.0000
N 0.5000 0.5000 0.5000
CELL_PARAMETERS angstrom
4.8212 0.0000 0.0000
0.0000 4.8212 0.0000
0.0000 0.0000 4.8212
```

## Properties
SG	Pm-3m
volume	22.41	Å³/atom
energy relative to the lowest polymorph listed for this composition	188	meV per atom
uncorrected formation energy	2.0394	eV per atom

=====

First-principles (PBE) data for crystalline Li2LaCu at its relaxed geometry, as listed in Alexandria. Values from VASP.

Geometry as Quantum ESPRESSO input:
```
&SYSTEM
  ibrav = 0, nat = 4, ntyp = 3
/
ATOMIC_SPECIES
Li 6.94 Li.upf
La 138.91 La.upf
Cu 63.55 Cu.upf
ATOMIC_POSITIONS crystal
Li 0.0000 0.0000 0.1706
Li 0.0000 0.0000 0.8294
La 0.5000 0.5000 0.5000
Cu 0.5000 0.5000 0.0000
CELL_PARAMETERS angstrom
3.2908 0.0000 0.0000
0.0000 3.2908 0.0000
0.0000 0.0000 7.5762
```

## Properties
SG	P4/mmm
volume	20.51	Å³/atom
energy relative to the lowest polymorph listed for this composition	139	meV per atom
formation enthalpy at 0 K	0.11	eV/atom

=====

First-principles (PBE) data for crystalline BrClO2 at its relaxed geometry, as listed in Alexandria. Values from VASP.

Geometry as Quantum ESPRESSO input:
```
&SYSTEM
  ibrav = 0, nat = 4, ntyp = 3
/
ATOMIC_SPECIES
Br 79.90 Br.upf
Cl 35.45 Cl.upf
O 16.00 O.upf
ATOMIC_POSITIONS crystal
Br 0.0000 0.0000 0.0000
Cl 0.0000 0.0000 0.5000
O 0.4910 0.4869 0.1199
O 0.5090 0.5131 0.8801
CELL_PARAMETERS angstrom
4.7137 0.0000 0.0000
-0.3138 4.7251 0.0000
-0.9915 -1.3511 4.5701
```

## Properties
SG	P-1
volume	25.45	Å³/atom
energy relative to the lowest polymorph listed for this composition	0	meV per atom
uncorrected formation energy	0.0940	eV per atom

=====

First-principles (PBE) data for crystalline Sr3GeSb at its relaxed geometry, as listed in Alexandria. Values from VASP.

Geometry as Quantum ESPRESSO input:
```
&SYSTEM
  ibrav = 0, nat = 5, ntyp = 3
/
ATOMIC_SPECIES
Sr 87.62 Sr.upf
Ge 72.64 Ge.upf
Sb 121.76 Sb.upf
ATOMIC_POSITIONS crystal
Sr 0.0000 0.0000 0.5000
Sr 0.0000 0.5000 0.0000
Sr 0.5000 0.0000 0.0000
Ge 0.0000 0.0000 0.0000
Sb 0.5000 0.5000 0.5000
CELL_PARAMETERS angstrom
5.8908 0.0000 0.0000
0.0000 5.8908 0.0000
0.0000 0.0000 5.8908
```

## Properties
SG	Pm-3m
volume	40.88	Å³/atom
energy relative to the lowest polymorph listed for this composition	240	meV per atom
uncorrected formation energy	-0.4544	eV per atom

=====

> Which of these has the lowest volume?

As2RuO8